Entry from Alexandria via LeMat-Bulk: a geometry-optimized NiSbOsO structure (GGA+U).

Unit cell a=3.001 b=3.754 c=5.378 alpha=90.00 beta=90.05 gamma=90.00
Element x y z (fractional)
Ni (0.000, 0.000, 0.000)
Sb (0.503, 0.500, 0.814)
Os (0.006, 0.500, 0.373)
O (0.006, 0.000, 0.375)

Energy above the most stable polymorph in this dataset, meV/atom: 174
Space group: No. 6
Final energy, eV per cell: -21.8
DOS at the Fermi energy, states/eV/f.u.: 1.94